A plane-wave DFT calculation with GGA-PBE was carried out for a relaxed Tm2AlGaNi4 crystal.

POSCAR file:
```
Tm2AlGaNi4
1.0
4.136 0.000 0.000
-2.068 3.582 0.000
0.000 0.000 8.630
Tm Al Ga Ni
2 1 1 4
Direct
0.333 0.667 0.251 Tm
0.667 0.333 0.749 Tm
0.000 0.000 0.000 Al
0.000 0.000 0.500 Ga
0.333 0.667 0.569 Ni
0.333 0.667 0.931 Ni
0.667 0.333 0.069 Ni
0.667 0.333 0.431 Ni
```

Size of the total moment = 0.004 μB per formula unit
DFT total energy = -0.393 Ry per atom

A plane-wave DFT calculation with GGA-PBE was carried out for a relaxed TmAl2Ga2Ni crystal.

POSCAR file:
```
TmAl2Ga2Ni
1.0
2.019 -7.548 0.000
2.019 7.548 0.000
0.000 0.000 6.677
Tm Al Ga Ni
2 4 4 2
Direct
0.119 0.881 0.750 Tm
0.881 0.119 0.250 Tm
0.312 0.688 0.553 Al
0.312 0.688 0.947 Al
0.688 0.312 0.053 Al
0.688 0.312 0.447 Al
0.072 0.928 0.250 Ga
0.500 0.500 0.000 Ga
0.500 0.500 0.500 Ga
0.928 0.072 0.750 Ga
0.227 0.773 0.250 Ni
0.773 0.227 0.750 Ni
```

Size of the total moment = 0.001 μB per formula unit
DFT total energy = -0.330 Ry per atom

A plane-wave DFT calculation with GGA-PBE was carried out for a relaxed YAl3GaNi crystal.

POSCAR file:
```
YAl3GaNi
1.0
2.036 -7.674 0.000
2.036 7.674 0.000
0.000 0.000 6.633
Y Al Ga Ni
2 6 2 2
Direct
0.118 0.882 0.750 Y
0.882 0.118 0.250 Y
0.311 0.689 0.552 Al
0.311 0.689 0.948 Al
0.500 0.500 0.000 Al
0.500 0.500 0.500 Al
0.689 0.311 0.052 Al
0.689 0.311 0.448 Al
0.072 0.928 0.250 Ga
0.928 0.072 0.750 Ga
0.225 0.775 0.250 Ni
0.775 0.225 0.750 Ni
```

Size of the total moment = 0.001 μB per formula unit
DFT total energy = -0.363 Ry per atom

A plane-wave DFT calculation with GGA-PBE was carried out for a relaxed YAlGa3Ni crystal.

POSCAR file:
```
YAlGa3Ni
1.0
2.037 -7.692 0.000
2.037 7.692 0.000
0.000 0.000 6.582
Y Al Ga Ni
2 2 6 2
Direct
0.119 0.881 0.750 Y
0.881 0.119 0.250 Y
0.074 0.926 0.250 Al
0.926 0.074 0.750 Al
0.315 0.685 0.551 Ga
0.315 0.685 0.949 Ga
0.500 0.500 0.000 Ga
0.500 0.500 0.500 Ga
0.685 0.315 0.051 Ga
0.685 0.315 0.449 Ga
0.225 0.775 0.250 Ni
0.775 0.225 0.750 Ni
```

Size of the total moment = 0.001 μB per formula unit
DFT total energy = -0.344 Ry per atom

A plane-wave DFT calculation with GGA-PBE was carried out for a relaxed YAl3GaNi crystal.

POSCAR file:
```
YAl3GaNi
1.0
2.025 -7.675 0.000
2.025 7.675 0.000
0.000 0.000 6.653
Y Al Ga Ni
2 6 2 2
Direct
0.116 0.884 0.750 Y
0.884 0.116 0.250 Y
0.076 0.924 0.250 Al
0.310 0.690 0.553 Al
0.310 0.690 0.947 Al
0.690 0.310 0.053 Al
0.690 0.310 0.447 Al
0.924 0.076 0.750 Al
0.500 0.500 0.000 Ga
0.500 0.500 0.500 Ga
0.227 0.773 0.250 Ni
0.773 0.227 0.750 Ni
```

Size of the total moment = 0.001 μB per formula unit
DFT total energy = -0.365 Ry per atom

A plane-wave DFT calculation with GGA-PBE was carried out for a relaxed YAlGa3Ni crystal.

POSCAR file:
```
YAlGa3Ni
1.0
2.049 -7.686 0.000
2.049 7.686 0.000
0.000 0.000 6.572
Y Al Ga Ni
2 2 6 2
Direct
0.119 0.881 0.750 Y
0.881 0.119 0.250 Y
0.500 0.500 0.000 Al
0.500 0.500 0.500 Al
0.072 0.928 0.250 Ga
0.315 0.685 0.551 Ga
0.315 0.685 0.949 Ga
0.685 0.315 0.051 Ga
0.685 0.315 0.449 Ga
0.928 0.072 0.750 Ga
0.225 0.775 0.250 Ni
0.775 0.225 0.750 Ni
```

Size of the total moment = 0.003 μB per formula unit
DFT total energy = -0.344 Ry per atom

A plane-wave DFT calculation with GGA-PBE was carried out for a relaxed Zr2AlGaNi4 crystal.

POSCAR file:
```
Zr2AlGaNi4
1.0
4.098 0.000 0.000
-2.049 3.549 0.000
0.000 0.000 8.073
Zr Al Ga Ni
2 1 1 4
Direct
0.333 0.667 0.250 Zr
0.667 0.333 0.750 Zr
0.000 0.000 0.000 Al
0.000 0.000 0.500 Ga
0.333 0.667 0.585 Ni
0.333 0.667 0.917 Ni
0.667 0.333 0.083 Ni
0.667 0.333 0.415 Ni
```

Size of the total moment = 0.003 μB per formula unit
DFT total energy = -0.468 Ry per atom

A plane-wave DFT calculation with GGA-PBE was carried out for a relaxed Np2AlGa3 crystal.

POSCAR file:
```
Np2AlGa3
1.0
5.609 0.000 0.000
-2.805 4.858 0.000
0.000 0.000 8.275
Np Al Ga
4 2 6
Direct
0.333 0.667 0.091 Np
0.333 0.667 0.409 Np
0.667 0.333 0.591 Np
0.667 0.333 0.909 Np
0.000 0.000 0.000 Al
0.000 0.000 0.500 Al
0.176 0.353 0.750 Ga
0.176 0.824 0.750 Ga
0.353 0.176 0.250 Ga
0.647 0.824 0.750 Ga
0.824 0.176 0.250 Ga
0.824 0.647 0.250 Ga
```

Size of the total moment = 7.677 μB per formula unit
DFT total energy = -0.489 Ry per atom

A plane-wave DFT calculation with GGA-PBE was carried out for a relaxed NpAlGa crystal.

POSCAR file:
```
NpAlGa
1.0
7.554 0.000 0.000
0.000 3.513 0.000
0.000 0.000 8.274
Np Al Ga
4 4 4
Direct
0.008 0.250 0.098 Np
0.492 0.750 0.598 Np
0.508 0.250 0.402 Np
0.992 0.750 0.902 Np
0.152 0.250 0.592 Al
0.348 0.750 0.092 Al
0.652 0.250 0.908 Al
0.848 0.750 0.408 Al
0.185 0.750 0.362 Ga
0.315 0.250 0.862 Ga
0.685 0.750 0.138 Ga
0.815 0.250 0.638 Ga
```

Size of the total moment = 0.008 μB per formula unit
DFT total energy = -0.498 Ry per atom

A plane-wave DFT calculation with GGA-PBE was carried out for a relaxed AlGaOs3 crystal.

POSCAR file:
```
AlGaOs3
1.0
4.835 0.000 0.000
0.000 2.484 6.109
0.000 -2.484 6.109
Al Ga Os
2 2 6
Direct
0.000 0.000 0.000 Al
0.500 0.000 0.000 Al
0.000 0.423 0.423 Ga
0.500 0.423 0.423 Ga
0.250 0.339 0.077 Os
0.250 0.752 0.461 Os
0.250 0.957 0.674 Os
0.750 0.077 0.339 Os
0.750 0.461 0.752 Os
0.750 0.674 0.957 Os
```

Size of the total moment = 0.009 μB per formula unit
DFT total energy = -0.579 Ry per atom

A plane-wave DFT calculation with GGA-PBE was carried out for a relaxed AlGaPd2 crystal.

POSCAR file:
```
AlGaPd2
1.0
4.928 0.000 0.000
0.000 4.938 0.000
-0.002 0.000 4.931
Al Ga Pd
2 2 4
Direct
0.093 0.000 0.345 Al
0.907 0.500 0.655 Al
0.404 0.188 0.842 Ga
0.596 0.688 0.158 Ga
0.103 0.489 0.147 Pd
0.393 0.699 0.644 Pd
0.607 0.199 0.356 Pd
0.897 0.989 0.853 Pd
```

DFT total energy = -0.372 Ry per atom

A plane-wave DFT calculation with GGA-PBE was carried out for a relaxed AlGa3Pd4 crystal.

POSCAR file:
```
AlGa3Pd4
1.0
3.498 2.020 2.855
-3.498 2.020 2.855
0.000 -4.039 2.855
Al Ga Pd
1 3 4
Direct
0.000 0.000 0.000 Al
0.185 0.500 0.689 Ga
0.500 0.689 0.185 Ga
0.689 0.185 0.500 Ga
0.198 0.988 0.488 Pd
0.488 0.198 0.988 Pd
0.701 0.701 0.701 Pd
0.988 0.488 0.198 Pd
```

DFT total energy = -0.361 Ry per atom